[1]
DFT (PBE) results for an optimized crystal structure of SrMnAl2Ga.

abc: 4.6697 4.6697 4.7253
angles: 90.00 90.00 90.00
Fractional coordinates of all 5 atoms:
Sr 0.0000 0.0000 0.0000
Mn 0.5000 0.5000 0.5000
Al 0.0000 0.5000 0.5000
Al 0.5000 0.0000 0.5000
Ga 0.5000 0.5000 0.0000

Summary:
Total DFT energy (no corrections): -22.57 eV per cell
DOS at the Fermi energy: 0.188 states/eV/atom
SG: No. 123
Density: 4.3 g/cm3

=====

[2]
DFT (PBE) results for an optimized crystal structure of Nb2BH2.

abc: 5.7347 5.7347 5.7347
angles: 149.63 149.63 43.48
Fractional coordinates of all 5 atoms:
Nb 0.1227 0.1227 0.0000
Nb 0.8773 0.8773 0.0000
B 0.5000 0.5000 0.0000
H 0.2500 0.7500 0.5000
H 0.7500 0.2500 0.5000

Summary:
Total DFT energy (no corrections): -34.47 eV per cell
DOS at the Fermi energy: 0.302 states/eV/atom
SG: No. 139
Density: 6.9 g/cm3

=====

[3]
DFT (PBE) results for an optimized crystal structure of MgGa.

abc: 4.9557 4.9557 4.9557
angles: 36.97 36.97 36.97
Fractional coordinates of all 2 atoms:
Mg 0.0000 0.0000 0.0000
Ga 0.5000 0.5000 0.5000

Summary:
Total DFT energy (no corrections): -4.83 eV per cell
DOS at the Fermi energy: 0.273 states/eV/atom
SG: No. 166
Density: 4.0 g/cm3